This record from the Alexandria database describes ErPuSb after structural relaxation. The functional is GGA-PBE.

Properties
The density of states at the Fermi level is 9.16 states/eV/f.u. The formation energy from raw total energies is -0.14 eV per atom.

a b c (Å): 10.229 9.978 6.731
angles (deg): 72.57 68.54 38.89
Element x y z (fractional)
Er 0.000 0.000 0.000
Er 0.000 0.000 0.500
Er 0.000 0.500 0.000
Er 0.500 0.000 0.000
Pu 0.244 0.244 0.506
Pu 0.494 0.494 0.756
Pu 0.506 0.506 0.244
Pu 0.756 0.756 0.494
Sb 0.169 0.581 0.169
Sb 0.419 0.831 0.419
Sb 0.581 0.169 0.581
Sb 0.831 0.419 0.831

This record from the Alexandria database describes PaHg2F6 after structural relaxation. The functional is GGA-PBE.

Properties
Its offset from the most stable computed form is 89 meV per atom. The density of states at the Fermi level is 1.76 states/eV/f.u. The formation energy from raw total energies is -2.66 eV per atom.

a b c (Å): 7.418 7.418 3.640
angles (deg): 90.00 90.00 120.00
Element x y z (fractional)
Pa 0.000 0.000 0.000
Hg 0.333 0.667 0.500
Hg 0.667 0.333 0.500
F 0.000 0.201 0.500
F 0.000 0.713 0.000
F 0.201 0.000 0.500
F 0.287 0.287 0.000
F 0.713 0.000 0.000
F 0.799 0.799 0.500

This record from the Alexandria database describes La7Pm3Pr after structural relaxation. The functional is GGA-PBE.

Properties
Its formation energy is 188 meV per atom. The density of states at the Fermi level is 16.97 states/eV/f.u.

a b c (Å): 8.721 8.721 6.098
angles (deg): 110.29 110.29 83.63
Element x y z (fractional)
La 0.000 0.000 0.000
La 0.096 0.507 0.301
La 0.290 0.290 0.792
La 0.493 0.904 0.699
La 0.507 0.096 0.301
La 0.710 0.710 0.208
La 0.904 0.493 0.699
Pm 0.294 0.706 0.000
Pm 0.500 0.500 0.500
Pm 0.706 0.294 0.000
Pr 0.000 0.000 0.500

no.,E_tot (eV for the cell shown)
1,-93.77
2,-45.26
3,-51.46